Record 1
Material: LaIrCl6
Method: DFT, PBE
State: relaxed

Cell lengths 6.3515, 6.4018, 7.1076 Å; angles 63.23, 82.59, 73.36 degrees
Element x y z (fractional)
Cl (0.2739, 0.2658, 0.0000)
Cl (0.2841, 0.8471, 0.7233)
Cl (0.7159, 0.1529, 0.2767)
Cl (0.2841, 0.5704, 0.2767)
Cl (0.7261, 0.7342, 0.0000)
Cl (0.7159, 0.4296, 0.7233)
Ir (0.5000, 0.5000, 0.0000)
La (0.0000, 0.0000, 0.0000)

**Final energy**: -35.56 eV for the cell shown

Record 2
Material: LaIr2Cl
Method: DFT, PBE
State: relaxed

Cell lengths 9.3986, 9.3986, 9.3986 Å; angles 19.18, 19.18, 19.18 degrees
Element x y z (fractional)
Ir (0.2612, 0.2612, 0.2612)
Ir (0.9951, 0.9951, 0.9951)
La (0.4966, 0.4966, 0.4966)
Cl (0.7471, 0.7471, 0.7471)

**Distance to the lowest polymorph of the same formula**: 868 meV per atom